# 1
Entry from the Alexandria database: a relaxed SrOs2O6 crystal (PBE).

```
SrOs2O6
1.0
5.3636 0.0000 0.0000
-2.6818 4.6450 0.0000
0.0000 0.0000 5.1972
Sr Os O
1 2 6
direct
0.0000 0.0000 0.0000
0.3333 0.6667 0.5000
0.6667 0.3333 0.5000
0.0000 0.3802 0.6989
0.0000 0.6198 0.3011
0.3802 0.0000 0.6989
0.3802 0.3802 0.3011
0.6198 0.0000 0.3011
0.6198 0.6198 0.6989
```

Total moment: 0.00 μB/cell
E_tot: -7.447 eV per atom

=====

# 2
Entry from the Alexandria database: a relaxed CaPu2Hg3 crystal (PBE).

```
CaPu2Hg3
1.0
3.6540 0.0000 0.0000
0.0000 3.6540 0.0000
0.0000 0.0000 11.9825
Ca Pu Hg
1 2 3
direct
0.0000 0.0000 0.0000
0.0000 0.0000 0.3320
0.0000 0.0000 0.6680
0.5000 0.5000 0.1636
0.5000 0.5000 0.5000
0.5000 0.5000 0.8364
```

ΔE_f: -245 meV/atom
Total moment: 11.93 μB/cell
E_tot: -5.507 eV per atom

=====

# 3
Entry from the Alexandria database: a relaxed Nd3Sm2Co2 crystal (PBE).

```
Nd3Sm2Co2
1.0
6.1408 -1.8947 0.0000
6.1408 1.8947 0.0000
-3.9402 0.0000 8.1896
Nd Sm Co
3 2 2
direct
0.0000 0.0000 0.0000
0.1159 0.1159 0.4236
0.8841 0.8841 0.5764
0.3253 0.3253 0.1932
0.6747 0.6747 0.8068
0.3181 0.3181 0.7549
0.6819 0.6819 0.2451
```

ΔE_f: -63 meV/atom
Total moment: 0.00 μB/cell
E_tot: -5.485 eV per atom

=====

# 4
Entry from the Alexandria database: a relaxed Y2ZrAg crystal (PBE).

```
Y2ZrAg
1.0
1.7003 0.9816 10.4698
-1.7003 0.9816 10.4698
0.0000 -1.9633 10.4698
Y Zr Ag
2 1 1
direct
0.0000 0.0000 0.0000
0.2357 0.2357 0.2357
0.7509 0.7509 0.7509
0.4910 0.4910 0.4910
```

Distance to the lowest polymorph of the same formula: 208 meV per atom
ΔE_f: 94 meV/atom
Total moment: 0.00 μB/cell
E_tot: -5.988 eV per atom

=====

# 5
Entry from the Alexandria database: a relaxed NbCdW3 crystal (PBE).

```
NbCdW3
1.0
4.8025 0.0000 0.0000
0.0000 4.8025 0.0000
0.0000 0.0000 4.8025
Nb Cd W
1 1 3
direct
0.0000 0.0000 0.0000
0.5000 0.5000 0.5000
0.0000 0.0000 0.5000
0.0000 0.5000 0.0000
0.5000 0.0000 0.0000
```

Distance to the lowest polymorph of the same formula: 0 meV per atom
ΔE_f: 2165 meV/atom
Total moment: 0.00 μB/cell
E_tot: -7.804 eV per atom

=====

# 6
Entry from the Alexandria database: a relaxed LaZn4Pd4 crystal (PBE).

```
LaZn4Pd4
1.0
-4.1701 4.1701 2.2459
4.1701 -4.1701 2.2459
4.1701 4.1701 -2.2459
La Zn Pd
1 4 4
direct
0.0000 0.0000 0.0000
0.0810 0.6253 0.7063
0.3747 0.0810 0.4557
0.6253 0.9190 0.5443
0.9190 0.3747 0.2937
0.2685 0.3687 0.6372
0.3687 0.7315 0.1002
0.6313 0.2685 0.8998
0.7315 0.6313 0.3628
```

ΔE_f: -502 meV/atom
Total moment: 0.00 μB/cell
E_tot: -3.923 eV per atom

=====

| no. | density of states at the Fermi level (states/eV per cell) | density (g/cm3) |
| --- | --- | --- |
| 1 | 2.62 | 7.23 |
| 2 | 16.22 | 11.73 |
| 3 | 8.06 | 7.42 |
| 4 | 4.95 | 5.97 |
| 5 | 5.53 | 11.35 |
| 6 | 2.09 | 8.78 |